The following is a DFT calculation (PBE) of a geometry-optimized La2TlZnSb structure.

**Uncorrected formation energy**: -0.208 eV/atom

a b c (Å): 5.752 5.752 4.884
angles (deg): 90.00 90.00 90.00
Element x y z (fractional)
La  0.000  0.500  0.000
La  0.500  0.000  0.000
Tl  0.000  0.000  0.500
Zn  0.000  0.000  0.000
Sb  0.500  0.500  0.500